No. 1
Material: LiAl2Br
Method: DFT, GGA-PBE
State: relaxed

Cell lengths 5.839, 5.839, 5.839 Å; angles 147.75, 125.91, 64.39 degrees
Fractional coordinates of all 4 atoms:
Li 0.000 0.000 0.000
Al 0.242 0.742 0.500
Al 0.485 0.485 0.000
Br 0.806 0.306 0.500

Computed properties:
ΔE to the lowest computed polymorph: 24.85 kJ per mole of atoms
Symmetry: Imm2, No. 44
Size of the total moment: 0.00 μB/cell

No. 2
Material: Li2AlBr
Method: DFT, GGA-PBE
State: relaxed

Cell lengths 3.298, 3.298, 7.866 Å; angles 90.00, 90.00, 105.69 degrees
Fractional coordinates of all 4 atoms:
Li 0.000 0.000 0.215
Li 0.000 0.000 0.785
Al 0.500 0.500 0.500
Br 0.500 0.500 0.000

Computed properties:
ΔE to the lowest computed polymorph: 5.34 kJ per mole of atoms
Symmetry: Cmmm, No. 65
Size of the total moment: 0.00 μB/cell

No. 3
Material: LiAl3Br
Method: DFT, GGA-PBE
State: relaxed

Cell lengths 4.795, 4.795, 4.795 Å; angles 90.00, 90.00, 90.00 degrees
Fractional coordinates of all 5 atoms:
Li 0.000 0.000 0.000
Al 0.000 0.000 0.500
Al 0.000 0.500 0.000
Al 0.500 0.000 0.000
Br 0.500 0.500 0.500

Computed properties:
ΔE to the lowest computed polymorph: 0.00 kJ per mole of atoms
Symmetry: Pm-3m, No. 221
Size of the total moment: 0.00 μB/cell

No. 4
Material: LiAl2Br
Method: DFT, GGA-PBE
State: relaxed

Cell lengths 3.476, 3.476, 6.897 Å; angles 90.00, 90.00, 90.00 degrees
Fractional coordinates of all 4 atoms:
Li 0.000 0.000 0.000
Al 0.500 0.500 0.199
Al 0.500 0.500 0.801
Br 0.000 0.000 0.500

Computed properties:
ΔE to the lowest computed polymorph: 34.67 kJ per mole of atoms
Symmetry: P4/mmm, No. 123
Size of the total moment: 0.00 μB/cell

No. 5
Material: LiAlBr2
Method: DFT, GGA-PBE
State: relaxed

Cell lengths 6.742, 6.742, 6.742 Å; angles 114.02, 114.02, 100.72 degrees
Fractional coordinates of all 8 atoms:
Li 0.000 0.000 0.000
Li 0.750 0.250 0.500
Al 0.250 0.750 0.500
Al 0.500 0.500 0.000
Br 0.070 0.625 0.945
Br 0.375 0.320 0.445
Br 0.680 0.125 0.055
Br 0.875 0.930 0.555

Computed properties:
ΔE to the lowest computed polymorph: 5.07 kJ per mole of atoms
Symmetry: I-42d, No. 122
Size of the total moment: 0.00 μB/cell

No. 6
Material: LiAlBr2
Method: DFT, GGA-PBE
State: relaxed

Cell lengths 5.230, 5.230, 3.669 Å; angles 90.00, 90.00, 90.00 degrees
Fractional coordinates of all 4 atoms:
Li 0.000 0.000 0.000
Al 0.500 0.500 0.000
Br 0.000 0.500 0.500
Br 0.500 0.000 0.500

Computed properties:
ΔE to the lowest computed polymorph: 18.43 kJ per mole of atoms
Symmetry: P4/mmm, No. 123
Size of the total moment: 0.00 μB/cell

No. 7
Material: LiAlBr2
Method: DFT, GGA-PBE
State: relaxed

Cell lengths 4.210, 4.210, 6.405 Å; angles 90.00, 90.00, 90.00 degrees
Fractional coordinates of all 4 atoms:
Li 0.000 0.000 0.000
Al 0.500 0.500 0.433
Br 0.000 0.000 0.397
Br 0.500 0.500 0.973

Computed properties:
ΔE to the lowest computed polymorph: 5.61 kJ per mole of atoms
Symmetry: P4mm, No. 99
Size of the total moment: 0.00 μB/cell

No. 8
Material: LiAlBr2
Method: DFT, GGA-PBE
State: relaxed

Cell lengths 5.965, 5.965, 5.965 Å; angles 141.29, 98.58, 94.04 degrees
Fractional coordinates of all 4 atoms:
Li 0.000 0.000 0.000
Al 0.500 0.500 0.000
Br 0.219 0.719 0.500
Br 0.781 0.281 0.500

Computed properties:
ΔE to the lowest computed polymorph: 12.53 kJ per mole of atoms
Symmetry: Immm, No. 71
Size of the total moment: 0.00 μB/cell

Question: Which formula does entry 6 have?
Answer: LiAlBr2

Question: What is the formula in the third record?
Answer: LiAl3Br

Question: size of the total moment of number 5 (LiAlBr2)?
Answer: 0.00 μB/cell